{
  "formula": "CrSb2TePd",
  "functional": "GGA-PBE",
  "state": "relaxed",
  "e_form_raw_ev_per_atom": 0.546,
  "magnetic_moment_mub_per_cell": 1.83,
  "e_above_lowest_polymorph_ev_per_atom": 0.000,
  "dos_at_fermi_per_ev_cell": 4.16,
  "mass_density_g_cm3": 6.92,
  "cell": [[4.9899, 0.0000, 0.0000], [0.0000, 4.9899, 0.0000], [0.0000, 0.0000, 5.1041]],
  "species": ["Sb", "Sb", "Pd", "Te", "Cr"],
  "fractional_positions": [[0.5000, 0.0000, 0.0000], [0.0000, 0.5000, 0.0000], [0.5000, 0.5000, 0.5000], [0.0000, 0.0000, 0.5000], [0.0000, 0.0000, 0.0000]]
}